Entry from Alexandria via LeMat-Bulk: a relaxed structure of Ce4YPu3S8 (PBE).

a b c (Å): 7.972 7.972 7.972
angles (deg): 59.81 59.81 59.81
Fractional coordinates of all 16 atoms:
1 Ce 0.000 0.000 0.000
2 Ce 0.000 0.500 0.500
3 Ce 0.500 0.000 0.500
4 Ce 0.500 0.500 0.000
5 Y 0.500 0.500 0.500
6 Pu 0.000 0.000 0.500
7 Pu 0.000 0.500 0.000
8 Pu 0.500 0.000 0.000
9 S 0.247 0.247 0.247
10 S 0.248 0.747 0.747
11 S 0.253 0.253 0.752
12 S 0.253 0.752 0.253
13 S 0.747 0.248 0.747
14 S 0.747 0.747 0.248
15 S 0.752 0.253 0.253
16 S 0.753 0.753 0.753

raw formation energy = -31.03 eV/f.u.
DOS at the Fermi energy = 36.44 states/eV/cell
crystal system = trigonal
calculated density = 7.62 Mg/m³
M_tot = 1.173 μB per atom